[1]
18
Lattice="7.647 -3.584 0.000 7.647 3.584 0.000 0.000 0.000 7.143" Properties=species:S:1:pos:R:3 comment="Sc5Ga2Hg2 (PBE, optimized geometry)" total_magnetization_mub_per_atom=0.000 e_tot_ev_per_cell=-85.5 dos_ef_per_ev_atom=0.53 e_form_mev_per_atom=-490 sg="Cmce (64)" vol_a3_per_atom=21.75 pbc="T T T"
Sc 0.000 0.000 0.000
Sc 5.676 2.279 4.825
Sc 5.676 1.305 1.253
Sc 9.617 2.279 4.825
Sc 9.617 1.305 1.253
Sc 7.647 0.000 3.571
Sc 5.676 -1.305 5.890
Sc 5.676 -2.279 2.318
Sc 9.617 -1.305 5.890
Sc 9.617 -2.279 2.318
Ga 7.647 2.694 2.678
Ga 7.647 0.890 6.249
Ga 7.647 -0.890 0.894
Ga 7.647 -2.694 4.465
Hg 3.335 0.000 0.000
Hg 4.312 0.000 3.571
Hg 10.981 0.000 3.571
Hg 11.958 0.000 0.000


[2]
11
Lattice="7.558 0.000 0.000 0.000 3.378 0.000 -0.824 0.000 9.189" Properties=species:S:1:pos:R:3 comment="Sc4Ga2Hg5 (PBE, optimized geometry)" total_magnetization_mub_per_atom=0.000 e_tot_ev_per_cell=-37.0 dos_ef_per_ev_atom=0.78 e_form_mev_per_atom=-375 sg="P2/m (10)" vol_a3_per_atom=21.33 pbc="T T T"
Sc 1.106 0.000 3.379
Sc 1.094 0.000 8.514
Sc 5.640 0.000 0.675
Sc 5.628 0.000 5.810
Ga 0.434 1.689 1.188
Ga 6.301 1.689 8.001
Hg 0.631 1.689 5.896
Hg 3.264 1.689 1.594
Hg 3.367 1.689 4.594
Hg 3.470 1.689 7.595
Hg 6.103 1.689 3.293